# PaTaTi2 (GGA-PBE, relaxed)
data_PaTaTi2
_space_group_name_H-M_alt 'F m -3 m'
_space_group_IT_number 225
_space_group_name_Hall '-F 4 2 3'
_cell_length_a 6.723
_cell_length_b 6.723
_cell_length_c 6.723
_cell_angle_alpha 90.00
_cell_angle_beta 90.00
_cell_angle_gamma 90.00
loop_
_atom_site_label
_atom_site_type_symbol
_atom_site_fract_x
_atom_site_fract_y
_atom_site_fract_z
Pa1 Pa 0.000 0.000 0.000
Ta1 Ta 0.000 0.000 0.500
Ti1 Ti 0.250 0.250 0.250
# energy relative to the elements	0.094	eV per atom
# V	303.8	Å³ per cell
# electronic total energy	-9.191	eV per atom
# distance to the lowest polymorph of the same formula	0	meV/atom
# crystal system	cubic

# Tb2DyHo (GGA-PBE, relaxed)
data_Tb2DyHo
_space_group_name_H-M_alt 'P 4/m m m'
_space_group_IT_number 123
_space_group_name_Hall '-P 4 2'
_cell_length_a 5.008
_cell_length_b 5.008
_cell_length_c 5.002
_cell_angle_alpha 90.00
_cell_angle_beta 90.00
_cell_angle_gamma 90.00
loop_
_atom_site_label
_atom_site_type_symbol
_atom_site_fract_x
_atom_site_fract_y
_atom_site_fract_z
Tb1 Tb 0.000 0.500 0.000
Dy1 Dy 0.000 0.000 0.500
Ho1 Ho 0.500 0.500 0.500
# energy relative to the elements	0.020	eV per atom
# V	125.5	Å³ per cell
# electronic total energy	-4.590	eV per atom
# distance to the lowest polymorph of the same formula	12	meV/atom
# crystal system	tetragonal